Entry from Alexandria: a geometry-optimized Li6SBr2N structure (PBE).

Cell lengths 5.875, 8.810, 6.607 Å; angles 90.00, 90.00, 90.00 degrees
Positions (direct):
1 Li 0.005 0.250 0.055
2 Li 0.012 0.250 0.503
3 Li 0.250 0.017 0.288
4 Li 0.250 0.483 0.288
5 Li 0.488 0.250 0.503
6 Li 0.495 0.250 0.055
7 Li 0.505 0.750 0.945
8 Li 0.512 0.750 0.497
9 Li 0.750 0.517 0.712
10 Li 0.750 0.983 0.712
11 Li 0.988 0.750 0.497
12 Li 0.995 0.750 0.945
13 S 0.250 0.750 0.219
14 S 0.750 0.250 0.781
15 Br 0.250 0.529 0.712
16 Br 0.250 0.971 0.712
17 Br 0.750 0.029 0.288
18 Br 0.750 0.471 0.288
19 N 0.250 0.250 0.270
20 N 0.750 0.750 0.730

Space-group type ... No. 59
E_form (uncorrected) ... -0.937 eV/atom

Entry from Alexandria: a geometry-optimized SrPm3Ag4 structure (PBE).

Cell lengths 10.697, 7.501, 5.348 Å; angles 90.00, 90.00, 90.00 degrees
Positions (direct):
1 Sr 0.000 0.000 0.000
2 Sr 0.500 0.000 0.000
3 Pm 0.000 0.500 0.000
4 Pm 0.250 0.000 0.499
5 Pm 0.250 0.500 0.499
6 Pm 0.500 0.500 0.000
7 Pm 0.750 0.000 0.501
8 Pm 0.750 0.500 0.501
9 Ag 0.000 0.264 0.500
10 Ag 0.000 0.736 0.500
11 Ag 0.250 0.264 0.999
12 Ag 0.250 0.736 0.999
13 Ag 0.500 0.264 0.500
14 Ag 0.500 0.736 0.500
15 Ag 0.750 0.264 0.001
16 Ag 0.750 0.736 0.001

Formation enthalpy at 0 K ... -0.256 eV/atom
Space-group type ... No. 51
Density of states at the Fermi level ... 10.34 states/eV per cell

Entry from Alexandria: a geometry-optimized YNi2Pt structure (PBE).

Cell lengths 4.517, 4.517, 4.517 Å; angles 60.00, 60.00, 60.00 degrees
Positions (direct):
1 Y 0.000 0.000 0.000
2 Ni 0.250 0.250 0.250
3 Ni 0.500 0.500 0.500
4 Pt 0.750 0.750 0.750

Formation enthalpy at 0 K ... -0.312 eV/atom
Space-group type ... No. 216
Density of states at the Fermi level ... 4.46 states/eV per cell

Entry from Alexandria: a geometry-optimized Be3Ir structure (PBE).

Cell lengths 3.816, 3.816, 3.816 Å; angles 60.00, 60.00, 60.00 degrees
Positions (direct):
1 Be 0.000 0.000 0.000
2 Be 0.250 0.250 0.250
3 Be 0.750 0.750 0.750
4 Ir 0.500 0.500 0.500

Formation enthalpy at 0 K ... -0.370 eV/atom
Space-group type ... No. 225
Density of states at the Fermi level ... 0.46 states/eV per cell

Entry from Alexandria: a geometry-optimized LiSnS structure (PBE).

Cell lengths 4.704, 4.704, 4.704 Å; angles 60.00, 60.00, 60.00 degrees
Positions (direct):
1 Li 0.000 0.000 0.000
2 Sn 0.500 0.500 0.500
3 S 0.750 0.750 0.750

Space-group type ... No. 216
Distance to the lowest polymorph of the same formula ... 0.505 eV/atom
Density of states at the Fermi level ... 1.88 states/eV per cell
E_form (uncorrected) ... -0.261 eV/atom

Entry from Alexandria: a geometry-optimized MgMnAl3 structure (PBE).

Cell lengths 4.560, 4.560, 4.560 Å; angles 90.00, 90.00, 90.00 degrees
Positions (direct):
1 Mg 0.000 0.000 0.000
2 Mn 0.500 0.500 0.500
3 Al 0.000 0.500 0.500
4 Al 0.500 0.000 0.500
5 Al 0.500 0.500 0.000

Formation enthalpy at 0 K ... 0.181 eV/atom
Space-group type ... No. 221
Distance to the lowest polymorph of the same formula ... 0.000 eV/atom
Density of states at the Fermi level ... 1.62 states/eV per cell

Entry from Alexandria: a geometry-optimized TmGa12Ir4 structure (PBE).

Cell lengths 7.630, 7.630, 7.630 Å; angles 109.47, 109.47, 109.47 degrees
Positions (direct):
1 Tm 0.000 0.000 0.000
2 Ga 0.158 0.337 0.495
3 Ga 0.158 0.663 0.821
4 Ga 0.179 0.842 0.337
5 Ga 0.337 0.179 0.842
6 Ga 0.337 0.495 0.158
7 Ga 0.495 0.158 0.337
8 Ga 0.505 0.842 0.663
9 Ga 0.663 0.505 0.842
10 Ga 0.663 0.821 0.158
11 Ga 0.821 0.158 0.663
12 Ga 0.842 0.337 0.179
13 Ga 0.842 0.663 0.505
14 Ir 0.000 0.000 0.500
15 Ir 0.000 0.500 0.000
16 Ir 0.500 0.000 0.000
17 Ir 0.500 0.500 0.500

Formation enthalpy at 0 K ... -0.148 eV/atom
Space-group type ... No. 204
Density of states at the Fermi level ... 6.67 states/eV per cell

Entry from Alexandria: a geometry-optimized Cs2AlH6 structure (PBE).

Cell lengths 6.060, 6.060, 10.061 Å; angles 90.00, 90.00, 120.00 degrees
Positions (direct):
1 Cs 0.000 0.000 0.000
2 Cs 0.000 0.000 0.500
3 Cs 0.333 0.667 0.275
4 Cs 0.667 0.333 0.775
5 Al 0.333 0.667 0.652
6 Al 0.667 0.333 0.152
7 H 0.065 0.532 0.549
8 H 0.194 0.388 0.746
9 H 0.194 0.806 0.746
10 H 0.388 0.194 0.246
11 H 0.468 0.532 0.549
12 H 0.468 0.935 0.549
13 H 0.532 0.065 0.049
14 H 0.532 0.468 0.049
15 H 0.612 0.806 0.746
16 H 0.806 0.194 0.246
17 H 0.806 0.612 0.246
18 H 0.935 0.468 0.049

Space-group type ... No. 186
E_tot ... -2.858 eV/atom
Density of states at the Fermi level ... 7.57 states/eV per cell

Entry from Alexandria: a geometry-optimized La2TbHo3Te6 structure (PBE).

Cell lengths 9.919, 9.919, 8.922 Å; angles 103.83, 103.83, 25.59 degrees
Positions (direct):
1 La 0.167 0.167 0.333
2 La 0.833 0.833 0.667
3 Tb 0.500 0.500 0.000
4 Ho 0.171 0.171 0.834
5 Ho 0.500 0.500 0.500
6 Ho 0.829 0.829 0.166
7 Te 0.006 0.006 0.751
8 Te 0.335 0.335 0.930
9 Te 0.338 0.338 0.407
10 Te 0.662 0.662 0.593
11 Te 0.665 0.665 0.070
12 Te 0.994 0.994 0.249

Space-group type ... No. 12
Density of states at the Fermi level ... 6.92 states/eV per cell
E_form (uncorrected) ... -1.375 eV/atom

Entry from Alexandria: a geometry-optimized Dy3HoSb3 structure (PBE).

Cell lengths 9.180, 9.180, 9.180 Å; angles 90.00, 90.00, 90.00 degrees
Positions (direct):
1 Dy 0.072 0.428 0.572
2 Dy 0.178 0.178 0.178
3 Dy 0.178 0.822 0.322
4 Dy 0.322 0.178 0.822
5 Dy 0.322 0.822 0.678
6 Dy 0.428 0.572 0.072
7 Dy 0.572 0.072 0.428
8 Dy 0.678 0.322 0.822
9 Dy 0.678 0.678 0.678
10 Dy 0.822 0.322 0.178
11 Dy 0.822 0.678 0.322
12 Dy 0.928 0.928 0.928
13 Ho 0.072 0.572 0.928
14 Ho 0.428 0.428 0.428
15 Ho 0.572 0.928 0.072
16 Ho 0.928 0.072 0.572
17 Sb 0.000 0.251 0.875
18 Sb 0.000 0.751 0.625
19 Sb 0.125 0.500 0.249
20 Sb 0.249 0.125 0.500
21 Sb 0.251 0.875 0.000
22 Sb 0.375 0.500 0.749
23 Sb 0.500 0.249 0.125
24 Sb 0.500 0.749 0.375
25 Sb 0.625 0.000 0.751
26 Sb 0.749 0.375 0.500
27 Sb 0.751 0.625 0.000
28 Sb 0.875 0.000 0.251

Space-group type ... No. 198
Distance to the lowest polymorph of the same formula ... 0.000 eV/atom
Density of states at the Fermi level ... 26.25 states/eV per cell
E_form (uncorrected) ... -0.988 eV/atom

Entry from Alexandria: a geometry-optimized NdSm2Lu structure (PBE).

Cell lengths 11.894, 11.894, 11.894 Å; angles 17.42, 17.42, 17.42 degrees
Positions (direct):
1 Nd 0.000 0.000 0.000
2 Sm 0.248 0.248 0.248
3 Sm 0.752 0.752 0.752
4 Lu 0.500 0.500 0.500

Formation enthalpy at 0 K ... 0.024 eV/atom
Space-group type ... No. 166
Distance to the lowest polymorph of the same formula ... 0.002 eV/atom
Density of states at the Fermi level ... 5.12 states/eV per cell

Entry from Alexandria: a geometry-optimized Ba2CuSiAu6 structure (PBE).

Cell lengths 6.726, 6.793, 7.240 Å; angles 90.19, 117.66, 119.67 degrees
Positions (direct):
1 Ba 0.065 0.282 0.346
2 Ba 0.935 0.718 0.654
3 Cu 0.500 0.000 0.500
4 Si 0.500 0.500 0.000
5 Au 0.002 0.251 0.823
6 Au 0.428 0.749 0.176
7 Au 0.431 0.181 0.179
8 Au 0.569 0.819 0.821
9 Au 0.572 0.251 0.824
10 Au 0.998 0.749 0.177

Space-group type ... No. 2
Density of states at the Fermi level ... 3.08 states/eV per cell
E_form (uncorrected) ... -0.480 eV/atom

Please write out number 10 again, unchanged.
Entry from Alexandria: a geometry-optimized Dy3HoSb3 structure (PBE).

Cell lengths 9.180, 9.180, 9.180 Å; angles 90.00, 90.00, 90.00 degrees
Positions (direct):
1 Dy 0.072 0.428 0.572
2 Dy 0.178 0.178 0.178
3 Dy 0.178 0.822 0.322
4 Dy 0.322 0.178 0.822
5 Dy 0.322 0.822 0.678
6 Dy 0.428 0.572 0.072
7 Dy 0.572 0.072 0.428
8 Dy 0.678 0.322 0.822
9 Dy 0.678 0.678 0.678
10 Dy 0.822 0.322 0.178
11 Dy 0.822 0.678 0.322
12 Dy 0.928 0.928 0.928
13 Ho 0.072 0.572 0.928
14 Ho 0.428 0.428 0.428
15 Ho 0.572 0.928 0.072
16 Ho 0.928 0.072 0.572
17 Sb 0.000 0.251 0.875
18 Sb 0.000 0.751 0.625
19 Sb 0.125 0.500 0.249
20 Sb 0.249 0.125 0.500
21 Sb 0.251 0.875 0.000
22 Sb 0.375 0.500 0.749
23 Sb 0.500 0.249 0.125
24 Sb 0.500 0.749 0.375
25 Sb 0.625 0.000 0.751
26 Sb 0.749 0.375 0.500
27 Sb 0.751 0.625 0.000
28 Sb 0.875 0.000 0.251

Space-group type ... No. 198
Distance to the lowest polymorph of the same formula ... 0.000 eV/atom
Density of states at the Fermi level ... 26.25 states/eV per cell
E_form (uncorrected) ... -0.988 eV/atom